Record 1
## PuAl2Zn3 (GGA-PBE)

Data for an optimized crystal structure of PuAl2Zn3.

Computed properties:
Space-group type: I4/mmm, No. 139
Size of the total moment, μB/cell: 11.595
ΔH_f (0 K), eV/atom: -0.081

a = 4.0917 Å, b = 4.0917 Å, c = 13.9815 Å
α = 98.41°, β = 98.41°, γ = 90.00°
Last column: nearest neighbours and their distance in Å.
Positions (direct):
Al (0.2500, 0.7500, 0.5000)  4 Zn 2.57
Zn (0.5457, 0.0457, 0.0915)  1 Zn 2.50, 2 Al 2.58
Al (0.7500, 0.2500, 0.5000)  4 Zn 2.57
Al (0.6032, 0.6032, 0.2064)  5 Zn 2.45-2.58
Al (0.3968, 0.3968, 0.7936)  5 Zn 2.45-2.58
Zn (0.3071, 0.3071, 0.6142)  5 Al 2.45-2.57
Pu (0.8519, 0.8519, 0.7038)  8 Zn 3.14-3.47, 8 Al 3.14-3.46
Pu (0.1481, 0.1481, 0.2962)  8 Zn 3.14-3.47, 8 Al 3.14-3.46
Zn (0.4543, 0.9543, 0.9085)  1 Zn 2.50, 2 Al 2.58
Zn (0.0457, 0.5457, 0.0915)  1 Zn 2.50, 2 Al 2.58
Zn (0.6929, 0.6929, 0.3858)  5 Al 2.45-2.57
Zn (0.9543, 0.4543, 0.9085)  1 Zn 2.50, 2 Al 2.58

=====

Record 2
## PuAl2Zn4 (GGA-PBE)

Data for an optimized crystal structure of PuAl2Zn4.

Computed properties:
Space-group type: I4/mmm, No. 139
Size of the total moment, μB/cell: 6.016
ΔH_f (0 K), eV/atom: -0.085

a = 5.2094 Å, b = 5.5026 Å, c = 5.5026 Å
α = 77.05°, β = 61.75°, γ = 61.75°
Last column: nearest neighbours and their distance in Å.
Positions (direct):
Zn (0.6921, 0.0000, 0.6159)  4 Zn 2.63-2.84, 4 Al 2.81
Pu (0.0000, 0.0000, 0.0000)  12 Zn 2.99-3.20
Zn (0.3079, 0.0000, 0.3841)  4 Zn 2.63-2.84, 4 Al 2.81
Zn (0.6921, 0.6159, 0.0000)  4 Zn 2.63-2.84, 4 Al 2.81
Al (0.7500, 0.5000, 0.5000)  2 Al 2.60, 8 Zn 2.81
Al (0.2500, 0.5000, 0.5000)  2 Al 2.60, 8 Zn 2.81
Zn (0.3079, 0.3841, 0.0000)  4 Zn 2.63-2.84, 4 Al 2.81

=====

Record 3
## Pu2AlZn (GGA-PBE)

Data for an optimized crystal structure of Pu2AlZn.

Computed properties:
Space-group type: P4/mmm, No. 123
Size of the total moment, μB/cell: 11.678
ΔH_f (0 K), eV/atom: -0.066

a = 3.8849 Å, b = 3.8849 Å, c = 5.8337 Å
α = 90.00°, β = 90.00°, γ = 90.00°
Last column: nearest neighbours and their distance in Å.
Positions (direct):
Al (0.5000, 0.5000, 0.5000)  2 Zn 2.92, 8 Pu 3.11
Pu (0.0000, 0.0000, 0.7505)  2 Pu 2.91-2.92, 4 Zn 3.11, 4 Al 3.11
Pu (0.0000, 0.0000, 0.2495)  2 Pu 2.91-2.92, 4 Zn 3.11, 4 Al 3.11
Zn (0.5000, 0.5000, 0.0000)  2 Al 2.92, 8 Pu 3.11

=====

Record 4
## PuAl4Zn2 (GGA-PBE)

Data for an optimized crystal structure of PuAl4Zn2.

Computed properties:
Space-group type: C2/m, No. 12
Size of the total moment, μB/cell: 5.858
ΔH_f (0 K), eV/atom: -0.107

a = 4.9062 Å, b = 5.6469 Å, c = 5.6468 Å
α = 75.40°, β = 64.35°, γ = 64.35°
Last column: nearest neighbours and their distance in Å.
Positions (direct):
Al (0.3090, 0.9929, 0.3891)  4 Al 2.70-2.86, 4 Zn 2.81-2.95
Pu (0.0000, 0.0000, 0.0000)  12 Al 3.11-3.15
Al (0.6910, 0.6109, 0.0070)  4 Al 2.70-2.86, 4 Zn 2.81-2.95
Al (0.6910, 0.0071, 0.6109)  4 Al 2.70-2.86, 4 Zn 2.81-2.95
Zn (0.7537, 0.4987, 0.4987)  2 Zn 2.43-2.48
Zn (0.2464, 0.5013, 0.5013)  2 Zn 2.43-2.48
Al (0.3090, 0.3891, 0.9930)  4 Al 2.70-2.86, 4 Zn 2.81-2.95

=====

Record 5
## Pu2Al5Zn3 (GGA-PBE)

Data for an optimized crystal structure of Pu2Al5Zn3.

Computed properties:
Space-group type: P-4m2, No. 115
Size of the total moment, μB/cell: 11.317
ΔH_f (0 K), eV/atom: -0.193

a = 4.1807 Å, b = 4.1807 Å, c = 10.9699 Å
α = 90.00°, β = 90.00°, γ = 90.00°
Last column: nearest neighbours and their distance in Å.
Positions (direct):
Al (0.0000, 0.0000, 0.0000)  8 Al 2.65-2.96
Al (0.5000, 0.5000, 0.5000)  4 Zn 2.54
Pu (0.0000, 0.5000, 0.7529)  10 Al 3.15-3.47, 6 Zn 3.24-3.47
Zn (0.5000, 0.0000, 0.6315)  3 Al 2.42-2.54, 2 Zn 2.54
Zn (0.0000, 0.5000, 0.3685)  3 Al 2.42-2.54, 2 Zn 2.54
Al (0.0000, 0.5000, 0.1479)  1 Zn 2.42, 4 Al 2.65
Al (0.5000, 0.5000, 0.0000)  8 Al 2.65-2.96
Zn (0.0000, 0.0000, 0.5000)  4 Zn 2.54
Al (0.5000, 0.0000, 0.8521)  1 Zn 2.42, 4 Al 2.65
Pu (0.5000, 0.0000, 0.2471)  10 Al 3.15-3.47, 6 Zn 3.24-3.47

=====

Record 6
## Pu3Al2Zn7 (GGA-PBE)

Data for an optimized crystal structure of Pu3Al2Zn7.

Computed properties:
Space-group type: R-3m, No. 166
Size of the total moment, μB/cell: 5.458
ΔH_f (0 K), eV/atom: -0.138

a = 5.4121 Å, b = 5.4121 Å, c = 9.3169 Å
α = 73.12°, β = 73.12°, γ = 60.00°
Last column: nearest neighbours and their distance in Å.
Positions (direct):
Zn (0.4161, 0.9212, 0.2466)  2 Al 2.65-2.69, 5 Zn 2.68-2.73
Zn (0.4161, 0.4161, 0.2466)  2 Al 2.65-2.69, 5 Zn 2.68-2.73
Zn (0.0788, 0.5839, 0.7534)  2 Al 2.65-2.69, 5 Zn 2.68-2.73
Pu (0.1475, 0.1475, 0.5576)  12 Zn 3.14-3.21, 3 Pu 3.28
Pu (0.8525, 0.8525, 0.4424)  12 Zn 3.14-3.21, 3 Pu 3.28
Zn (0.5839, 0.5839, 0.7534)  2 Al 2.65-2.69, 5 Zn 2.68-2.73
Zn (0.5839, 0.0788, 0.7534)  2 Al 2.65-2.69, 5 Zn 2.68-2.73
Zn (0.9212, 0.4161, 0.2466)  2 Al 2.65-2.69, 5 Zn 2.68-2.73
Pu (0.0000, 0.0000, 0.0000)  6 Al 3.12, 12 Zn 3.46-3.47
Al (0.6652, 0.6652, 0.0043)  6 Zn 2.65-2.69
Zn (0.5000, 0.5000, 0.5000)  6 Zn 2.73
Al (0.3348, 0.3348, 0.9957)  6 Zn 2.65-2.69

=====

Record 7
## PuAl2Zn (GGA-PBE)

Data for an optimized crystal structure of PuAl2Zn.

Computed properties:
Space-group type: P4/mmm, No. 123
Size of the total moment, μB/cell: 5.616
ΔH_f (0 K), eV/atom: -0.132

a = 4.2853 Å, b = 4.2736 Å, c = 4.2736 Å
α = 90.00°, β = 90.00°, γ = 90.00°
Last column: nearest neighbours and their distance in Å.
Positions (direct):
Pu (0.5000, 0.0000, 0.0000)  4 Zn 3.02, 8 Al 3.03
Zn (0.5000, 0.5000, 0.5000)  4 Pu 3.02, 8 Al 3.03
Al (0.0000, 0.5000, 0.0000)  4 Al 3.02, 4 Pu 3.03, 4 Zn 3.03
Al (0.0000, 0.0000, 0.5000)  4 Al 3.02, 4 Pu 3.03, 4 Zn 3.03

=====

Record 8
## Pu2AlZn3 (GGA-PBE)

Data for an optimized crystal structure of Pu2AlZn3.

Computed properties:
Relative energy among the computed polymorphs, meV/atom: 0
Space-group type: C2/m, No. 12
Size of the total moment, μB/cell: 10.979
ΔH_f (0 K), eV/atom: -0.219

a = 5.4493 Å, b = 5.4494 Å, c = 5.4617 Å
α = 89.96°, β = 119.85°, γ = 120.12°
Last column: nearest neighbours and their distance in Å.
Positions (direct):
Pu (0.7483, 0.3736, 0.1219)  3 Al 3.19, 9 Zn 3.19-3.21, 4 Pu 3.32-3.38
Zn (0.0000, 0.0000, 0.5000)  4 Zn 2.72, 2 Al 2.73
Pu (0.2517, 0.6264, 0.8781)  3 Al 3.19, 9 Zn 3.19-3.21, 4 Pu 3.32-3.38
Zn (0.5000, 0.0000, 0.5000)  4 Zn 2.72, 2 Al 2.73
Al (0.0000, 0.0000, 0.0000)  6 Zn 2.73
Zn (0.5000, 0.5000, 0.5000)  4 Zn 2.72, 2 Al 2.73